Material: LiTlHg4
Method: DFT, PBE
State: optimized geometry

Its volume is 26.71 A^3/atom. The calculated formation energy comes out at -0.01 eV per atom. The calculation puts the energy above the most stable polymorph in this dataset at 68 kJ/mol of formula units. The total energy comes out at -0.921 eV/atom.

The space group is F-43m (No. 216) and the conventional cell measures 8.6227, 8.6227 and 8.6227 Å, with angles of 90.00, 90.00 and 90.00 degrees. The asymmetric unit holds Li at (0.0000, 0.0000, 0.0000), Tl at (0.2500, 0.2500, 0.7500) and Hg at (0.1254, 0.1254, 0.3746).